# 1
VASP calculation (GGA-PBE) on a relaxed CdGaB crystal.

abc: 4.198 4.198 7.780
angles: 90.00 90.00 120.00
Atoms (fractional coordinates):
Cd1 0.667 0.333 0.750
Cd2 0.333 0.667 0.250
B1 0.000 0.000 0.750
B2 0.000 0.000 0.250
Ga1 0.000 0.000 0.500
Ga2 0.000 0.000 0.000

Properties
volume	119	Å³/cell
symmetry	No. 194
total energy	-18.0	eV per cell
total magnetization	0.000	μB per atom
DOS at the Fermi energy	1.7	states/eV/cell

---

# 2
VASP calculation (GGA-PBE) on a relaxed Ge2Au2C crystal.

abc: 3.726 3.726 7.300
angles: 75.22 75.22 90.00
Atoms (fractional coordinates):
Ge1 0.410 0.410 0.181
Ge2 0.590 0.590 0.819
C1 0.000 0.000 0.000
Au1 0.250 0.750 0.500
Au2 0.750 0.250 0.500

Properties
volume	94	Å³/cell
relative energy among the computed polymorphs	455	meV/atom
symmetry	No. 139
total magnetization	0.000	μB per atom
DOS at the Fermi energy	3.1	states/eV/cell

---

# 3
VASP calculation (GGA-PBE) on a relaxed BeRe2Si crystal.

abc: 4.548 4.548 4.234
angles: 74.17 74.17 37.24
Atoms (fractional coordinates):
Si1 0.510 0.510 0.518
Be1 0.244 0.244 0.219
Re1 0.989 0.989 0.052
Re2 0.756 0.756 0.711

Properties
volume	51	Å³/cell
symmetry	No. 8
total magnetization	0.000	μB per atom
DOS at the Fermi energy	1.9	states/eV/cell
energy relative to the elements, uncorrected	-0.081	eV per atom

---

# 4
VASP calculation (GGA-PBE) on a relaxed ZrAs2Os crystal.

abc: 4.557 4.557 4.557
angles: 60.00 60.00 60.00
Atoms (fractional coordinates):
Zr1 0.000 0.000 0.000
As1 0.250 0.250 0.250
As2 0.750 0.750 0.750
Os1 0.500 0.500 0.500

Properties
volume	67	Å³/cell
relative energy among the computed polymorphs	249	meV/atom
symmetry	No. 225
total magnetization	0.000	μB per atom
DOS at the Fermi energy	6.0	states/eV/cell

---

# 5
VASP calculation (GGA-PBE) on a relaxed In12Sn5Te3 crystal.

abc: 15.422 15.422 15.422
angles: 109.47 109.47 109.47
Atoms (fractional coordinates):
In1 0.087 0.919 0.362
In2 0.833 0.919 0.057
In3 0.638 0.057 0.225
In4 0.138 0.725 0.557
In5 0.443 0.667 0.081
In6 0.581 0.638 0.413
In7 0.087 0.167 0.225
In8 0.943 0.581 0.167
In9 0.775 0.333 0.913
In10 0.581 0.943 0.667
In11 0.419 0.057 0.333
In12 0.413 0.275 0.333
In13 0.057 0.419 0.833
In14 0.667 0.225 0.587
In15 0.081 0.167 0.443
In16 0.081 0.913 0.138
In17 0.557 0.225 0.138
In18 0.862 0.275 0.443
In19 0.275 0.862 0.943
In20 0.333 0.557 0.419
In21 0.919 0.833 0.557
In22 0.057 0.638 0.725
In23 0.225 0.667 0.087
In24 0.225 0.557 0.638
In25 0.725 0.587 0.167
In26 0.638 0.581 0.913
In27 0.419 0.362 0.587
In28 0.833 0.913 0.275
In29 0.138 0.413 0.081
In30 0.167 0.081 0.943
In31 0.913 0.081 0.638
In32 0.557 0.333 0.919
In33 0.362 0.943 0.775
In34 0.167 0.087 0.725
In35 0.362 0.419 0.087
In36 0.913 0.833 0.775
In37 0.775 0.443 0.362
In38 0.587 0.725 0.667
In39 0.443 0.775 0.862
In40 0.333 0.775 0.413
In41 0.413 0.138 0.581
In42 0.587 0.862 0.419
In43 0.725 0.138 0.057
In44 0.275 0.413 0.833
In45 0.943 0.362 0.275
In46 0.919 0.087 0.862
In47 0.667 0.443 0.581
In48 0.862 0.587 0.919
Te1 0.875 0.125 0.250
Te2 0.125 0.250 0.875
Te3 0.125 0.875 0.750
Te4 0.250 0.125 0.375
Te5 0.875 0.750 0.125
Te6 0.625 0.250 0.375
Te7 0.375 0.750 0.625
Te8 0.250 0.625 0.875
Te9 0.750 0.375 0.125
Te10 0.750 0.875 0.625
Te11 0.375 0.625 0.250
Te12 0.625 0.375 0.750
Sn1 0.625 0.875 0.250
Sn2 0.250 0.875 0.125
Sn3 0.000 0.000 0.500
Sn4 0.000 0.500 0.500
Sn5 0.750 0.625 0.375
Sn6 0.000 0.500 0.000
Sn7 0.500 0.500 0.500
Sn8 0.875 0.625 0.750
Sn9 0.375 0.250 0.125
Sn10 0.250 0.375 0.625
Sn11 0.750 0.125 0.875
Sn12 0.125 0.750 0.375
Sn13 0.875 0.250 0.625
Sn14 0.125 0.375 0.250
Sn15 0.625 0.750 0.875
Sn16 0.500 0.500 0.000
Sn17 0.500 0.000 0.000
Sn18 0.375 0.125 0.750
Sn19 0.000 0.000 0.000
Sn20 0.500 0.000 0.500

Properties
volume	2824	Å³/cell
symmetry	No. 230
total magnetization	0.000	μB per atom
DOS at the Fermi energy	36.0	states/eV/cell
energy relative to the elements, uncorrected	0.110	eV per atom

---

# 6
VASP calculation (GGA-PBE) on a relaxed CaBeSe3 crystal.

abc: 4.738 4.738 4.738
angles: 90.00 90.00 90.00
Atoms (fractional coordinates):
Be1 0.000 0.000 0.000
Se1 0.500 0.000 0.000
Se2 0.000 0.000 0.500
Se3 0.000 0.500 0.000
Ca1 0.500 0.500 0.500

Properties
volume	106	Å³/cell
relative energy among the computed polymorphs	0	meV/atom
symmetry	No. 221
total magnetization	0.000	μB per atom
DOS at the Fermi energy	4.1	states/eV/cell
energy relative to the elements, uncorrected	-0.578	eV per atom